No. 1
Entry from the Alexandria database: AcMgCd after structural relaxation (GGA-PBE).

Structure (CIF):
```
data_AcMgCd
_chemical_formula_sum 'Ac4 Mg4 Cd4'
_cell_length_a 11.7121
_cell_length_b 5.1529
_cell_length_c 8.1667
_cell_angle_alpha 90.00
_cell_angle_beta 132.01
_cell_angle_gamma 90.00
_symmetry_space_group_name_H-M 'C 1 2/m 1'
_symmetry_Int_Tables_number 12
_symmetry_space_group_name_Hall '-C 2y'
loop_
_atom_site_label
_atom_site_fract_x
_atom_site_fract_y
_atom_site_fract_z
Ac1 0.0472 0.0000 0.3013
Mg1 0.1678 0.5000 0.0993
Cd1 0.1647 0.5000 0.7166
```

Output
Energy of formation ... -218 meV per atom
Distance to the lowest polymorph of the same formula ... 3.18 kJ/mol of atoms
Size of the total moment ... 0.00 Bohr magnetons per cell



No. 2
Entry from the Alexandria database: ScTa2B2 after structural relaxation (GGA-PBE).

Structure (CIF):
```
data_ScTa2B2
_chemical_formula_sum 'Sc2 Ta4 B4'
_cell_length_a 6.2821
_cell_length_b 6.2821
_cell_length_c 3.3076
_cell_angle_alpha 90.00
_cell_angle_beta 90.00
_cell_angle_gamma 90.00
_symmetry_space_group_name_H-M 'P 4/m b m'
_symmetry_Int_Tables_number 127
_symmetry_space_group_name_Hall '-P 4 2ab'
loop_
_atom_site_label
_atom_site_fract_x
_atom_site_fract_y
_atom_site_fract_z
Sc1 0.0000 0.0000 0.0000
Ta1 0.1736 0.3264 0.5000
B1 0.1032 0.6032 0.0000
```

Output
Energy of formation ... -417 meV per atom
Size of the total moment ... 0.00 Bohr magnetons per cell



Please write out number 1 again, unchanged.
Entry from the Alexandria database: AcMgCd after structural relaxation (GGA-PBE).

Structure (CIF):
```
data_AcMgCd
_chemical_formula_sum 'Ac4 Mg4 Cd4'
_cell_length_a 11.7121
_cell_length_b 5.1529
_cell_length_c 8.1667
_cell_angle_alpha 90.00
_cell_angle_beta 132.01
_cell_angle_gamma 90.00
_symmetry_space_group_name_H-M 'C 1 2/m 1'
_symmetry_Int_Tables_number 12
_symmetry_space_group_name_Hall '-C 2y'
loop_
_atom_site_label
_atom_site_fract_x
_atom_site_fract_y
_atom_site_fract_z
Ac1 0.0472 0.0000 0.3013
Mg1 0.1678 0.5000 0.0993
Cd1 0.1647 0.5000 0.7166
```

Output
Energy of formation ... -218 meV per atom
Distance to the lowest polymorph of the same formula ... 3.18 kJ/mol of atoms
Size of the total moment ... 0.00 Bohr magnetons per cell